Computed, not measured: crystalline K2AcCrO4 at its relaxed geometry at the GGA+U level of DFT.

Computed properties:
As for the theoretical density: 5.27 Mg/m³. As for the raw total energy: -6.202 eV/atom.

Lattice parameters (Å, degrees): 6.033 3.529 6.579 90.00 108.69 90.00
Space group P2/m (No. 10)
Inequivalent atoms, fractional coordinates:
K 0.000 0.000 0.000
K 0.500 0.500 0.000
Ac 0.000 0.500 0.500
Cr 0.500 0.000 0.500
O 0.278 0.000 0.686
O 0.302 0.500 0.318

=====

Computed, not measured: crystalline K3Ac2CrO6 at its relaxed geometry at the GGA+U level of DFT.

Computed properties:
As for the theoretical density: 5.60 Mg/m³. As for the raw total energy: -6.265 eV/atom.

Lattice parameters (Å, degrees): 6.244 10.865 6.609 90.00 107.83 90.00
Space group C2/m (No. 12)
Inequivalent atoms, fractional coordinates:
K 0.000 0.000 0.000
K 0.000 0.347 0.000
Ac 0.000 0.167 0.500
Cr 0.000 0.500 0.500
O 0.206 0.355 0.687
O 0.232 0.500 0.316

=====

Computed, not measured: crystalline KAcCrO5 at its relaxed geometry at the GGA+U level of DFT.

Computed properties:
As for the theoretical density: 4.07 Mg/m³. As for the raw total energy: -6.736 eV/atom.

Lattice parameters (Å, degrees): 8.057 10.278 8.545 90.00 113.20 90.00
Space group C2/c (No. 15)
Inequivalent atoms, fractional coordinates:
K 0.000 0.168 0.250
Ac 0.000 0.500 0.000
Cr 0.000 0.174 0.750
O 0.000 0.415 0.250
O 0.086 0.268 0.640
O 0.160 0.077 0.884

=====

Computed, not measured: crystalline K3AcCr2O8 at its relaxed geometry at the GGA+U level of DFT.

Computed properties:
As for the theoretical density: 3.63 Mg/m³. As for the raw total energy: -6.347 eV/atom.

Lattice parameters (Å, degrees): 6.1937 6.1937 7.9303 90.00 90.00 120.00
Space group P-3m1 (No. 164)
Inequivalent atoms, fractional coordinates:
K 0.0000 0.0000 0.0000
K 0.3333 0.6667 0.6971
Ac 0.0000 0.0000 0.5000
Cr 0.3333 0.6667 0.2296
O 0.1811 0.3623 0.3102
O 0.3333 0.6667 0.0194

=====

Computed, not measured: crystalline K2AcCr2O6 at its relaxed geometry at the GGA+U level of DFT.

Computed properties:
As for the theoretical density: 3.74 Mg/m³. As for the raw total energy: -6.527 eV/atom.

Lattice parameters (Å, degrees): 6.2868 6.2868 19.6581 90.00 90.00 120.00
Space group R-3m (No. 166, hexagonal axes)
Inequivalent atoms, fractional coordinates:
K 0.0000 0.0000 0.1965
Ac 0.0000 0.0000 0.0000
Cr 0.0000 0.0000 0.4152
O 0.0081 0.5040 0.2495

=====

> Which value of raw total energy does entry 2 give?

-6.265 eV/atom